# 1
Computed, not measured: crystalline Nb2TlZnFe at its relaxed geometry at the PBE level of DFT.

Cell: 4.594 4.625 4.594 Å, 90.00 90.00 90.00°
Atoms (fractional coordinates):
Zn  0.000  0.500  0.000
Tl  0.500  0.500  0.500
Nb  0.500  0.000  0.000
Nb  0.000  0.000  0.500
Fe  0.000  0.000  0.000

Values from the calculation:
Space group: No. 123
Uncorrected energy, eV/atom: -5.86

---

# 2
Computed, not measured: crystalline Li3Zn7Ag at its relaxed geometry at the PBE level of DFT.

Cell: 2.735 9.456 14.360 Å, 90.00 90.00 98.32°
Atoms (fractional coordinates):
Zn  0.498  0.996  0.415
Zn  0.502  0.004  0.915
Zn  0.626  0.252  0.839
Zn  0.498  0.996  0.085
Zn  0.502  0.004  0.585
Zn  0.376  0.751  0.750
Zn  0.745  0.490  0.578
Zn  0.255  0.510  0.078
Zn  0.624  0.249  0.250
Zn  0.255  0.510  0.422
Zn  0.626  0.252  0.661
Zn  0.374  0.748  0.339
Zn  0.745  0.490  0.922
Zn  0.374  0.748  0.161
Ag  0.005  0.011  0.750
Ag  0.995  0.989  0.250
Li  0.882  0.764  0.987
Li  0.118  0.236  0.487
Li  0.765  0.530  0.250
Li  0.118  0.236  0.013
Li  0.235  0.470  0.750
Li  0.882  0.764  0.513

Values from the calculation:
Space group: No. 63
Uncorrected energy, eV/atom: -1.63